A relaxed structure of LaTl3H. Source: Alexandria via LeMat-Bulk, functional PBE.

Output
Space group: Pm-3m, No. 221
Mass density in Mg/m³: 5.037

POSCAR file:
```
LaTl3H
1.0
6.285 0.000 0.000
0.000 6.285 0.000
0.000 0.000 6.285
La Tl H
1 3 1
Direct
0.000 0.000 0.000 La
0.000 0.000 0.500 Tl
0.000 0.500 0.000 Tl
0.500 0.000 0.000 Tl
0.500 0.500 0.500 H
```



A relaxed structure of La2TlH. Source: Alexandria via LeMat-Bulk, functional PBE.

Output
Space group: Pnma, No. 62
Mass density in Mg/m³: 7.942

POSCAR file:
```
La2TlH
1.0
7.591 0.000 0.000
0.000 4.982 0.000
0.000 0.000 10.686
La Tl H
8 4 4
Direct
0.078 0.250 0.181 La
0.130 0.250 0.567 La
0.370 0.750 0.067 La
0.422 0.750 0.681 La
0.578 0.250 0.319 La
0.630 0.250 0.933 La
0.870 0.750 0.433 La
0.922 0.750 0.819 La
0.200 0.250 0.870 Tl
0.300 0.750 0.370 Tl
0.700 0.250 0.630 Tl
0.800 0.750 0.130 Tl
0.096 0.750 0.623 H
0.404 0.250 0.123 H
0.596 0.750 0.877 H
0.904 0.250 0.377 H
```



A relaxed structure of La4Tl2H. Source: Alexandria via LeMat-Bulk, functional PBE.

Output
Space group: I4/mmm, No. 139
Mass density in Mg/m³: 7.649

POSCAR file:
```
La4Tl2H
1.0
4.866 0.000 0.000
0.000 4.866 0.000
0.000 0.000 17.702
La Tl H
8 4 2
Direct
0.000 0.000 0.180 La
0.000 0.000 0.820 La
0.000 0.500 0.000 La
0.000 0.500 0.500 La
0.500 0.000 0.000 La
0.500 0.000 0.500 La
0.500 0.500 0.320 La
0.500 0.500 0.680 La
0.000 0.000 0.363 Tl
0.000 0.000 0.637 Tl
0.500 0.500 0.137 Tl
0.500 0.500 0.863 Tl
0.000 0.000 0.000 H
0.500 0.500 0.500 H
```



A relaxed structure of La2TlH2. Source: Alexandria via LeMat-Bulk, functional PBE.

Output
Space group: I4/mmm, No. 139
Mass density in Mg/m³: 7.568

POSCAR file:
```
La2TlH2
1.0
4.118 0.000 0.000
0.000 4.118 0.000
0.000 0.000 12.532
La Tl H
4 2 4
Direct
0.000 0.000 0.150 La
0.000 0.000 0.850 La
0.500 0.500 0.350 La
0.500 0.500 0.650 La
0.000 0.000 0.500 Tl
0.500 0.500 0.000 Tl
0.000 0.500 0.250 H
0.000 0.500 0.750 H
0.500 0.000 0.250 H
0.500 0.000 0.750 H
```



A relaxed structure of La2TlH. Source: Alexandria via LeMat-Bulk, functional PBE.

Output
Space group: P2/m, No. 10
Mass density in Mg/m³: 8.142

POSCAR file:
```
La2TlH
1.0
5.062 0.000 0.000
0.000 4.505 0.000
-2.511 0.000 8.644
La Tl H
4 2 2
Direct
0.000 0.000 0.000 La
0.190 0.500 0.381 La
0.500 0.500 0.000 La
0.810 0.500 0.619 La
0.352 0.000 0.704 Tl
0.648 0.000 0.296 Tl
0.056 0.500 0.113 H
0.944 0.500 0.887 H
```



A relaxed structure of La2TlH2. Source: Alexandria via LeMat-Bulk, functional PBE.

Output
Space group: C2/c, No. 15
Mass density in Mg/m³: 7.695

POSCAR file:
```
La2TlH2
1.0
3.250 -5.301 0.000
3.250 5.301 0.000
-3.231 0.000 6.066
La Tl H
4 2 4
Direct
0.055 0.945 0.750 La
0.307 0.693 0.250 La
0.693 0.307 0.750 La
0.945 0.055 0.250 La
0.375 0.625 0.750 Tl
0.625 0.375 0.250 Tl
0.007 0.756 0.012 H
0.244 0.993 0.488 H
0.756 0.007 0.512 H
0.993 0.244 0.988 H
```



A relaxed structure of LaTl2H2. Source: Alexandria via LeMat-Bulk, functional PBE.

Output
Space group: P4/mbm, No. 127
Mass density in Mg/m³: 8.460

POSCAR file:
```
LaTl2H2
1.0
6.657 0.000 0.000
0.000 6.657 0.000
0.000 0.000 4.870
La Tl H
2 4 4
Direct
0.000 0.000 0.000 La
0.500 0.500 0.000 La
0.187 0.313 0.500 Tl
0.313 0.813 0.500 Tl
0.687 0.187 0.500 Tl
0.813 0.687 0.500 Tl
0.221 0.279 0.000 H
0.279 0.779 0.000 H
0.721 0.221 0.000 H
0.779 0.721 0.000 H
```



A relaxed structure of La6Tl3H. Source: Alexandria via LeMat-Bulk, functional PBE.

Output
Space group: Cmcm, No. 63
Mass density in Mg/m³: 8.087

POSCAR file:
```
La6Tl3H
1.0
6.956 -8.372 0.000
6.956 8.372 0.000
0.000 0.000 5.104
La Tl H
12 6 2
Direct
0.069 0.931 0.750 La
0.098 0.564 0.750 La
0.235 0.765 0.250 La
0.261 0.405 0.250 La
0.405 0.261 0.750 La
0.436 0.902 0.750 La
0.564 0.098 0.250 La
0.595 0.739 0.250 La
0.739 0.595 0.750 La
0.765 0.235 0.750 La
0.902 0.436 0.250 La
0.931 0.069 0.250 La
0.074 0.257 0.750 Tl
0.257 0.074 0.250 Tl
0.408 0.592 0.750 Tl
0.592 0.408 0.250 Tl
0.743 0.926 0.750 Tl
0.926 0.743 0.250 Tl
0.214 0.786 0.750 H
0.786 0.214 0.250 H
```



| no. | excess energy over the best structure of this formula in the dataset (meV per atom) | spin magnetization (μB/cell) |
| --- | --- | --- |
| 1 | 991 | 1.0 |
| 2 | 0 | 0.0 |
| 3 | 13 | 0.0 |
| 4 | 0 | 0.0 |
| 5 | 63 | 0.0 |
| 6 | 60 | 0.0 |
| 7 | 0 | 0.0 |
| 8 | 0 | 0.0 |